The following is a DFT calculation (PBE) of LiOsW2 after structural relaxation.

Calculated values
M_tot (μB per formula unit): 0.00
Fermi-level density of states (states/eV per cell): 3.97
Crystal system: orthorhombic
Energy relative to the elements (eV per atom): 0.298
Calculated volume (Å³/f.u.): 60

Geometry as CIF:
```
data_LiOsW2
_chemical_formula_sum 'Li1 Os1 W2'
_space_group_name_H-M_alt 'P 1'
_space_group_IT_number 1
_cell_length_a 5.195
_cell_length_b 5.195
_cell_length_c 4.369
_cell_angle_alpha 65.15
_cell_angle_beta 65.15
_cell_angle_gamma 34.21
loop_
_space_group_symop_operation_xyz
'x,y,z'
loop_
_atom_site_label
_atom_site_fract_x
_atom_site_fract_y
_atom_site_fract_z
Os1 0.250 0.250 0.250
W1 0.510 0.510 0.490
W2 0.990 0.990 0.010
Li1 0.750 0.750 0.750
```

=====

The following is a DFT calculation (PBE) of LiOsW4 after structural relaxation.

Calculated values
M_tot (μB per formula unit): 0.00
Fermi-level density of states (states/eV per cell): 5.05
Crystal system: cubic
Energy relative to the elements (eV per atom): 0.594
Calculated volume (Å³/f.u.): 100

Geometry as CIF:
```
data_LiOsW4
_chemical_formula_sum 'Li1 Os1 W4'
_space_group_name_H-M_alt 'P 1'
_space_group_IT_number 1
_cell_length_a 5.211
_cell_length_b 5.211
_cell_length_c 5.211
_cell_angle_alpha 60.00
_cell_angle_beta 60.00
_cell_angle_gamma 60.00
loop_
_space_group_symop_operation_xyz
'x,y,z'
loop_
_atom_site_label
_atom_site_fract_x
_atom_site_fract_y
_atom_site_fract_z
W1 0.872 0.376 0.376
W2 0.376 0.376 0.872
W3 0.376 0.872 0.376
W4 0.376 0.376 0.376
Os1 0.000 0.000 0.000
Li1 0.750 0.750 0.750
```

=====

The following is a DFT calculation (PBE) of LiOs2W after structural relaxation.

Calculated values
M_tot (μB per formula unit): 0.00
Fermi-level density of states (states/eV per cell): 2.23
Crystal system: cubic
Energy relative to the elements (eV per atom): 0.346
Calculated volume (Å³/f.u.): 57

Geometry as CIF:
```
data_LiOs2W
_chemical_formula_sum 'Li1 Os2 W1'
_space_group_name_H-M_alt 'P 1'
_space_group_IT_number 1
_cell_length_a 4.308
_cell_length_b 4.308
_cell_length_c 4.308
_cell_angle_alpha 60.00
_cell_angle_beta 60.00
_cell_angle_gamma 60.00
loop_
_space_group_symop_operation_xyz
'x,y,z'
loop_
_atom_site_label
_atom_site_fract_x
_atom_site_fract_y
_atom_site_fract_z
Os1 0.250 0.250 0.250
Os2 0.000 0.000 0.000
Li1 0.500 0.500 0.500
W1 0.750 0.750 0.750
```

=====

The following is a DFT calculation (PBE) of LiOs3W after structural relaxation.

Calculated values
M_tot (μB per formula unit): 1.49
Fermi-level density of states (states/eV per cell): 6.88
Crystal system: cubic
Energy relative to the elements (eV per atom): 2.016
Energy above the most stable polymorph in this dataset (eV/atom): 1.008
Calculated volume (Å³/f.u.): 108

Geometry as CIF:
```
data_LiOs3W
_chemical_formula_sum 'Li1 Os3 W1'
_space_group_name_H-M_alt 'P 1'
_space_group_IT_number 1
_cell_length_a 4.756
_cell_length_b 4.756
_cell_length_c 4.756
_cell_angle_alpha 90.00
_cell_angle_beta 90.00
_cell_angle_gamma 90.00
loop_
_space_group_symop_operation_xyz
'x,y,z'
loop_
_atom_site_label
_atom_site_fract_x
_atom_site_fract_y
_atom_site_fract_z
Li1 0.500 0.500 0.500
Os1 0.500 0.000 0.000
Os2 0.000 0.000 0.500
Os3 0.000 0.500 0.000
W1 0.000 0.000 0.000
```